Crystalline Nd3SmTm2 at its relaxed geometry. Source: Alexandria, functional PBE-GGA.

distance to the lowest polymorph of the same formula	0.000	eV per atom
formation enthalpy at 0 K	0.027	eV per formula unit

Unit cell a=9.671 b=9.671 c=6.303 alpha=102.51 beta=102.51 gamma=44.17
Atoms (fractional coordinates):
Nd: 0.043 0.293 0.028
Nd: 0.129 0.871 0.750
Nd: 0.293 0.043 0.528
Nd: 0.707 0.957 0.472
Nd: 0.871 0.129 0.250
Nd: 0.957 0.707 0.972
Sm: 0.377 0.623 0.250
Sm: 0.623 0.377 0.750
Tm: 0.209 0.457 0.472
Tm: 0.457 0.209 0.972
Tm: 0.543 0.791 0.028
Tm: 0.791 0.543 0.528

***

Crystalline Nd5Sm8Tm at its relaxed geometry. Source: Alexandria, functional PBE-GGA.

formation enthalpy at 0 K	3.388	eV per formula unit

Unit cell a=8.592 b=8.592 c=8.592 alpha=110.62 beta=110.62 gamma=107.19
Atoms (fractional coordinates):
Nd: 0.000 0.000 0.000
Nd: 0.211 0.315 0.682
Nd: 0.471 0.789 0.104
Nd: 0.633 0.529 0.318
Nd: 0.685 0.367 0.896
Sm: 0.163 0.428 0.097
Sm: 0.331 0.065 0.903
Sm: 0.420 0.162 0.397
Sm: 0.572 0.669 0.734
Sm: 0.766 0.023 0.603
Sm: 0.838 0.234 0.258
Sm: 0.935 0.837 0.266
Sm: 0.977 0.580 0.742
Tm: 0.250 0.750 0.500

***

Crystalline NdSm12Tm3 at its relaxed geometry. Source: Alexandria, functional PBE-GGA.

formation enthalpy at 0 K	0.282	eV per formula unit

Unit cell a=5.099 b=5.099 c=20.356 alpha=90.00 beta=90.00 gamma=90.00
Atoms (fractional coordinates):
Nd: 0.000 0.000 0.000
Sm: 0.000 0.500 0.127
Sm: 0.000 0.500 0.376
Sm: 0.000 0.500 0.624
Sm: 0.000 0.500 0.873
Sm: 0.500 0.000 0.127
Sm: 0.500 0.000 0.376
Sm: 0.500 0.000 0.624
Sm: 0.500 0.000 0.873
Sm: 0.500 0.500 0.000
Sm: 0.500 0.500 0.252
Sm: 0.500 0.500 0.500
Sm: 0.500 0.500 0.748
Tm: 0.000 0.000 0.252
Tm: 0.000 0.000 0.500
Tm: 0.000 0.000 0.748